# PBE-GGA CeErHg, optimized geometry
data_CeErHg
_cell_length_a 5.3805
_cell_length_b 5.3805
_cell_length_c 6.5235
_cell_angle_alpha 90.00
_cell_angle_beta 90.00
_cell_angle_gamma 120.00
_symmetry_space_group_name_H-M 'P 63/m m c'
_symmetry_Int_Tables_number 194
_symmetry_space_group_name_Hall '-P 6c 2c'
loop_
_atom_site_label
_atom_site_fract_x
_atom_site_fract_y
_atom_site_fract_z
Ce1 0.0000 0.0000 0.0000
Er1 0.3333 0.6667 0.2500
Hg1 0.3333 0.6667 0.7500
# M_tot (μB/f.u.): 1.9
# Uncorrected energy (eV per atom): -3.807
# Energy of formation (kJ/mol of formula units): -60
# Distance to the lowest polymorph of the same formula (meV/atom): 0.4